# PBE Pr3Dy2Th, relaxed
# - DOS at the Fermi energy: 21.25 states/eV per cell
# - ΔE_f: 5.12 kJ/mol of atoms
# - Excess energy over the best structure of this formula in the dataset: 0.00 eV/f.u.
# - Electronic total energy: -61.29 eV per cell
# - Space group: C2/m
data_Pr3Dy2Th
_chemical_formula_sum 'Pr6 Dy4 Th2'
_cell_length_a 11.294
_cell_length_b 11.294
_cell_length_c 11.853
_cell_angle_alpha 121.16
_cell_angle_beta 121.16
_cell_angle_gamma 18.59
_symmetry_space_group_name_H-M 'P 1'
_symmetry_Int_Tables_number 1
loop_
_symmetry_equiv_pos_as_xyz
'x,y,z'
loop_
_atom_site_label
_atom_site_type_symbol
_atom_site_fract_x
_atom_site_fract_y
_atom_site_fract_z
Pr1 Pr 0.058 0.058 0.424
Pr2 Pr 0.270 0.270 0.389
Pr3 Pr 0.387 0.387 0.260
Pr4 Pr 0.613 0.613 0.740
Pr5 Pr 0.730 0.730 0.611
Pr6 Pr 0.942 0.942 0.576
Dy1 Dy 0.055 0.055 0.932
Dy2 Dy 0.281 0.281 0.910
Dy3 Dy 0.719 0.719 0.090
Dy4 Dy 0.945 0.945 0.068
Th1 Th 0.391 0.391 0.774
Th2 Th 0.609 0.609 0.226